Here is a geometry-optimized ErPa2MnN5 structure from the Alexandria database. Energies are from GGA-PBE.

The density of states at the Fermi level comes out at 0.74 states/eV/cell. The volume is 237 Å³ per cell. The total energy comes out at -9.511 eV/atom.

The space group is P4/mbm (No. 127) and the conventional cell measures 6.5216, 6.5216 and 5.5730 Å, with angles of 90.00, 90.00 and 90.00 degrees. The distinct sites, in fractional coordinates, are Er at (0.0000, 0.0000, 0.0000), Pa at (0.1708, 0.3292, 0.5000), Mn at (0.0000, 0.5000, 0.0000), N at (0.0000, 0.0000, 0.5000) and N at (0.1500, 0.6500, 0.2367).

Here is a geometry-optimized PmEr2MnN4 structure from the Alexandria database. Energies are from GGA-PBE.

The density of states at the Fermi level comes out at 11.89 states/eV/cell. The volume is 438 Å³ per cell. The total energy comes out at -8.274 eV/atom.

The space group is Cmcm (No. 63) and the conventional cell measures 3.3758, 11.3790 and 11.3971 Å, with angles of 90.00, 90.00 and 90.00 degrees. The distinct sites, in fractional coordinates, are Pm at (0.0000, 0.1096, 0.2500), Er at (0.0000, 0.3683, 0.0437), Mn at (0.0000, 0.1566, 0.7500), N at (0.0000, 0.0000, 0.0000), N at (0.0000, 0.2653, 0.6292) and N at (0.0000, 0.4213, 0.2500).

Here is a geometry-optimized Pm2ErMnN4 structure from the Alexandria database. Energies are from GGA-PBE.

The density of states at the Fermi level comes out at 12.03 states/eV/cell. The volume is 473 Å³ per cell. The total energy comes out at -8.054 eV/atom.

The space group is Cmcm (No. 63) and the conventional cell measures 3.3967, 11.6955 and 11.9121 Å, with angles of 90.00, 90.00 and 90.00 degrees. The distinct sites, in fractional coordinates, are Pm at (0.0000, 0.1327, 0.0429), Er at (0.0000, 0.3716, 0.2500), Mn at (0.0000, 0.3467, 0.7500), N at (0.0000, 0.0833, 0.2500), N at (0.0000, 0.2285, 0.6402) and N at (0.0000, 0.5000, 0.0000).

Here is a geometry-optimized PrEr2MnN4 structure from the Alexandria database. Energies are from GGA-PBE.

The density of states at the Fermi level comes out at 14.03 states/eV/cell. The volume is 446 Å³ per cell. The total energy comes out at -8.270 eV/atom.

The space group is Cmcm (No. 63) and the conventional cell measures 3.3985, 11.4665 and 11.4527 Å, with angles of 90.00, 90.00 and 90.00 degrees. The distinct sites, in fractional coordinates, are Pr at (0.0000, 0.0954, 0.2500), Er at (0.0000, 0.3688, 0.0445), Mn at (0.0000, 0.1670, 0.7500), N at (0.0000, 0.0000, 0.0000), N at (0.0000, 0.2644, 0.6260) and N at (0.0000, 0.4171, 0.2500).